Entry 1:
DFT (PBE-GGA) results for a relaxed HgBiPt crystal.

POSCAR file:
```
HgBiPt
1.0
6.669 0.000 0.000
0.000 6.669 0.000
0.000 0.000 6.669
Hg Bi Pt
4 4 4
Cartesian
0.000 0.000 0.000 Hg
0.000 3.335 3.335 Hg
3.335 0.000 3.335 Hg
3.335 3.335 0.000 Hg
0.000 0.000 3.335 Bi
0.000 3.335 0.000 Bi
3.335 0.000 0.000 Bi
3.335 3.335 3.335 Bi
1.667 1.667 5.002 Pt
1.667 5.002 1.667 Pt
5.002 1.667 1.667 Pt
5.002 5.002 5.002 Pt
```

## Properties
Polymorph energy (0 for the lowest one) = 0 meV/atom
Space group = F-43m

Entry 2:
DFT (PBE-GGA) results for a relaxed PuHgBi crystal.

POSCAR file:
```
PuHgBi
1.0
7.363 0.000 0.000
0.000 7.363 0.000
0.000 0.000 7.363
Pu Hg Bi
4 4 4
Cartesian
0.000 0.000 0.000 Pu
0.000 3.682 3.682 Pu
3.682 0.000 3.682 Pu
3.682 3.682 0.000 Pu
1.841 1.841 1.841 Hg
1.841 5.522 5.522 Hg
5.522 1.841 5.522 Hg
5.522 5.522 1.841 Hg
1.841 1.841 5.522 Bi
1.841 5.522 1.841 Bi
5.522 1.841 1.841 Bi
5.522 5.522 5.522 Bi
```

## Properties
Polymorph energy (0 for the lowest one) = 0 meV/atom
Space group = F-43m

Entry 3:
DFT (PBE-GGA) results for a relaxed PuHgBi crystal.

POSCAR file:
```
PuHgBi
1.0
7.347 0.000 0.000
0.000 7.347 0.000
0.000 0.000 7.347
Pu Hg Bi
4 4 4
Cartesian
0.000 0.000 0.000 Pu
0.000 3.673 3.673 Pu
3.673 0.000 3.673 Pu
3.673 3.673 0.000 Pu
0.000 0.000 3.673 Hg
0.000 3.673 0.000 Hg
3.673 0.000 0.000 Hg
3.673 3.673 3.673 Hg
1.837 1.837 5.510 Bi
1.837 5.510 1.837 Bi
5.510 1.837 1.837 Bi
5.510 5.510 5.510 Bi
```

## Properties
Polymorph energy (0 for the lowest one) = 145 meV/atom
Space group = F-43m

Entry 4:
DFT (PBE-GGA) results for a relaxed RbHgBiSe3 crystal.

POSCAR file:
```
RbHgBiSe3
1.0
2.189 -7.728 0.000
2.189 7.728 0.000
0.000 0.000 11.360
Rb Hg Bi Se
2 2 2 6
Cartesian
2.189 3.951 8.520 Rb
2.189 -3.951 2.840 Rb
2.189 6.998 2.840 Hg
2.189 -6.998 8.520 Hg
2.189 0.000 0.000 Bi
2.189 0.000 5.680 Bi
2.189 5.735 0.501 Se
2.189 5.735 5.180 Se
2.189 1.015 2.840 Se
2.189 -1.015 8.520 Se
2.189 -5.735 6.181 Se
2.189 -5.735 10.860 Se
```

## Properties
Calculated total energy = -0.118 Ha/atom
Space group = Cmcm

Entry 5:
DFT (PBE-GGA) results for a relaxed Rb2SnHgBi2 crystal.

POSCAR file:
```
Rb2SnHgBi2
1.0
4.783 0.000 0.000
-2.392 4.142 0.000
0.000 0.000 12.964
Rb Sn Hg Bi
2 1 1 2
Cartesian
0.000 0.000 0.000 Rb
0.000 2.762 6.548 Rb
2.392 1.381 3.834 Sn
2.392 1.381 9.946 Hg
0.000 0.000 9.293 Bi
0.000 2.762 2.443 Bi
```

## Properties
Calculated total energy = -0.096 Ha/atom
Space group = P3m1

Entry 6:
DFT (PBE-GGA) results for a relaxed RbHgBiTe3 crystal.

POSCAR file:
```
RbHgBiTe3
1.0
2.301 -8.045 0.000
2.301 8.045 0.000
0.000 0.000 11.957
Rb Hg Bi Te
2 2 2 6
Cartesian
2.301 4.052 8.968 Rb
2.301 -4.052 2.989 Rb
2.301 0.779 2.989 Hg
2.301 -0.779 8.968 Hg
0.000 0.000 0.000 Bi
0.000 0.000 5.979 Bi
2.301 6.962 2.989 Te
2.301 2.150 0.498 Te
2.301 2.150 5.481 Te
2.301 -2.150 6.476 Te
2.301 -2.150 11.459 Te
2.301 -6.962 8.968 Te
```

## Properties
Calculated total energy = -0.107 Ha/atom
Space group = Cmcm